# meta-GGA SCAN LaPb2Br, PBEsol geometry
data_LaPb2Br
_chemical_formula_sum 'La1 Pb2 Br1'
_symmetry_space_group_name_H-M 'P 1'
_symmetry_Int_Tables_number 1
_symmetry_space_group_name_Hall 'P 1'
_cell_length_a 5.597
_cell_length_b 5.597
_cell_length_c 3.785
_cell_angle_alpha 90.00
_cell_angle_beta 90.00
_cell_angle_gamma 90.00
loop_
_atom_site_label
_atom_site_type_symbol
_atom_site_fract_x
_atom_site_fract_y
_atom_site_fract_z
La1 La 0.000 0.000 0.000
Pb1 Pb 0.000 0.500 0.500
Pb2 Pb 0.500 0.000 0.500
Br1 Br 0.500 0.500 0.000
# SG: P4/mmm
# Energy relative to the elements, uncorrected (meV/atom): -572

---

# meta-GGA SCAN IrPtRh, PBEsol geometry
data_IrPtRh
_chemical_formula_sum 'Ir1 Pt1 Rh1'
_symmetry_space_group_name_H-M 'P 1'
_symmetry_Int_Tables_number 1
_symmetry_space_group_name_Hall 'P 1'
_cell_length_a 6.088
_cell_length_b 6.088
_cell_length_c 6.088
_cell_angle_alpha 154.26
_cell_angle_beta 154.26
_cell_angle_gamma 36.72
loop_
_atom_site_label
_atom_site_type_symbol
_atom_site_fract_x
_atom_site_fract_y
_atom_site_fract_z
Ir1 Ir 0.000 0.000 0.000
Pt1 Pt 0.671 0.671 0.000
Rh1 Rh 0.343 0.343 0.000
# SG: I4mm
# Total energy (eV/atom): -58.347

---

Listing total moment for the structures above in their given order: 0.000 0.000 μB per atom.